# 1
The following is a DFT calculation (GGA-PBE) of a geometry-optimized CuMo structure.

Computed properties:
Formation energy from the elements (meV per atom): 163
Calculated density (g/cm³): 9.459
Total magnetization (μB per atom): 0.0000
Crystal system: monoclinic

POSCAR file:
```
CuMo
1.0
-2.406 0.027 0.924
1.539 -0.339 4.018
0.708 5.012 0.152
Mo Cu
2 2
Direct
0.894 0.250 0.637
0.106 0.750 0.363
0.512 0.250 0.124
0.488 0.750 0.876
```

***

# 2
The following is a DFT calculation (GGA-PBE) of a geometry-optimized CuMo2 structure.

Computed properties:
Formation energy from the elements (meV per atom): 1047
Energy above the lowest structure with this stoichiometry (meV/atom): 824
Calculated density (g/cm³): 8.447
Total magnetization (μB per atom): 0.0008
Crystal system: tetragonal

POSCAR file:
```
CuMo2
1.0
4.396 0.000 0.000
0.000 4.396 0.000
0.000 0.000 2.598
Cu Mo
1 2
Direct
0.000 0.000 0.000
0.000 0.500 0.500
0.500 0.000 0.500
```

***

# 3
The following is a DFT calculation (GGA-PBE) of a geometry-optimized CuMo structure.

Computed properties:
Formation energy from the elements (meV per atom): 334
Calculated density (g/cm³): 9.246
Total magnetization (μB per atom): 0.0000
Crystal system: trigonal

POSCAR file:
```
CuMo
1.0
4.833 -0.006 -0.004
4.088 2.577 -0.004
4.088 1.178 2.292
Cu Mo
1 1
Direct
0.000 0.000 0.000
0.500 0.500 0.500
```

***

# 4
The following is a DFT calculation (GGA-PBE) of a geometry-optimized CuMo structure.

Computed properties:
Formation energy from the elements (meV per atom): 284
Calculated density (g/cm³): 9.406
Total magnetization (μB per atom): 0.0000
Crystal system: orthorhombic

POSCAR file:
```
CuMo
1.0
5.352 0.000 0.000
0.000 4.772 0.000
0.000 0.000 8.820
Cu Mo
8 8
Direct
0.398 0.747 0.007
0.898 0.753 0.993
0.602 0.247 0.493
0.102 0.253 0.507
0.114 0.565 0.749
0.614 0.935 0.251
0.886 0.065 0.751
0.386 0.435 0.249
0.650 0.243 0.004
0.150 0.257 0.996
0.350 0.743 0.496
0.850 0.757 0.504
0.380 0.055 0.749
0.880 0.445 0.251
0.620 0.555 0.751
0.120 0.945 0.249
```

***

# 5
The following is a DFT calculation (GGA-PBE) of a geometry-optimized CuMo2 structure.

Computed properties:
Formation energy from the elements (meV per atom): 393
Energy above the lowest structure with this stoichiometry (meV/atom): 169
Calculated density (g/cm³): 9.314
Total magnetization (μB per atom): 0.0000
Crystal system: orthorhombic

POSCAR file:
```
CuMo2
1.0
-1.743 -0.165 -1.832
3.226 -6.410 -2.491
-2.785 -2.520 2.878
Cu Mo
2 4
Direct
0.000 0.000 0.000
0.500 0.500 0.500
0.000 0.173 0.500
0.500 0.327 0.000
0.500 0.673 0.000
0.000 0.827 0.500
```

***

# 6
The following is a DFT calculation (GGA-PBE) of a geometry-optimized CuMo2 structure.

Computed properties:
Formation energy from the elements (meV per atom): 243
Energy above the lowest structure with this stoichiometry (meV/atom): 20
Calculated density (g/cm³): 9.607
Total magnetization (μB per atom): 0.0000
Crystal system: orthorhombic

POSCAR file:
```
CuMo2
1.0
-4.937 4.352 -0.315
3.594 -4.866 -2.610
-2.629 -2.859 1.709
Cu Mo
2 4
Direct
0.904 0.096 0.750
0.096 0.904 0.250
0.571 0.429 0.750
0.429 0.571 0.250
0.237 0.763 0.750
0.763 0.237 0.250
```

***

Q: Which formula does entry 6 have?
A: CuMo2